First-principles (GGA-PBE) data for a geometry-optimized Rb2EuF5 structure, as listed in the Alexandria database.

```
Rb2EuF5
1.0
6.959 0.000 0.000
0.000 7.680 0.000
0.000 0.000 11.504
Rb F Eu
8 20 4
Direct
0.966 0.516 0.669 Rb
0.967 0.021 0.669 Rb
0.467 0.521 0.831 Rb
0.533 0.021 0.169 Rb
0.034 0.016 0.331 Rb
0.466 0.016 0.831 Rb
0.534 0.516 0.169 Rb
0.033 0.521 0.331 Rb
0.345 0.268 0.314 F
0.624 0.268 0.665 F
0.376 0.768 0.335 F
0.883 0.768 0.486 F
0.356 0.986 0.575 F
0.876 0.268 0.165 F
0.155 0.268 0.814 F
0.117 0.268 0.514 F
0.856 0.050 0.925 F
0.845 0.768 0.186 F
0.655 0.768 0.686 F
0.644 0.050 0.425 F
0.617 0.768 0.986 F
0.644 0.486 0.425 F
0.144 0.986 0.075 F
0.144 0.550 0.075 F
0.124 0.768 0.835 F
0.356 0.550 0.575 F
0.383 0.268 0.014 F
0.856 0.486 0.925 F
0.554 0.768 0.499 Eu
0.054 0.268 0.001 Eu
0.946 0.768 0.999 Eu
0.446 0.268 0.501 Eu
```

Calculated values
SG = Pnma
total energy = -5.85 eV per atom
theoretical density = 4.5 g/cm3